VASP calculation (GGA-PBE) on Sr3Sn2Pb3 after structural relaxation.

Output
Space-group type ... Cmcm
Magnetization ... 0.00 μB/f.u.
Energy of formation ... -444.0 meV/atom

Geometry as POSCAR:
```
Sr3Sn2Pb3
1.0
-4.685 -0.053 1.996
2.113 -7.418 -1.735
5.805 -1.524 13.585
Pb Sr Sn
6 6 4
direct
0.015 0.030 0.894 Pb
0.985 0.970 0.106 Pb
0.015 0.030 0.606 Pb
0.791 0.582 0.250 Pb
0.209 0.418 0.750 Pb
0.985 0.970 0.394 Pb
0.462 0.925 0.750 Sr
0.538 0.075 0.250 Sr
0.634 0.268 0.504 Sr
0.366 0.732 0.496 Sr
0.366 0.732 0.004 Sr
0.634 0.268 0.996 Sr
0.813 0.626 0.649 Sn
0.813 0.626 0.851 Sn
0.187 0.374 0.351 Sn
0.187 0.374 0.149 Sn
```

VASP calculation (GGA-PBE) on Tb3DyTh3 after structural relaxation.

Output
Space-group type ... P6_3/m
Energy above the lowest structure with this stoichiometry ... 10.1 meV/atom
Magnetization ... 0.00 μB/f.u.
Energy of formation ... 53.5 meV/atom

Geometry as POSCAR:
```
Tb3DyTh3
1.0
-4.027 -3.673 2.018
6.463 -3.909 5.781
-5.220 7.367 2.992
Tb Th Dy
6 6 2
direct
0.750 0.957 0.196 Tb
0.750 0.804 0.761 Tb
0.750 0.239 0.043 Tb
0.250 0.196 0.239 Tb
0.250 0.761 0.957 Tb
0.250 0.043 0.804 Tb
0.750 0.383 0.486 Th
0.250 0.617 0.514 Th
0.750 0.103 0.617 Th
0.750 0.514 0.897 Th
0.250 0.897 0.383 Th
0.250 0.486 0.103 Th
0.750 0.667 0.333 Dy
0.250 0.333 0.667 Dy
```

VASP calculation (GGA-PBE) on Cd2In2Rh after structural relaxation.

Output
Space-group type ... P4/mbm
Energy above the lowest structure with this stoichiometry ... 0.0 meV/atom
Magnetization ... 0.00 μB/f.u.
Energy of formation ... 217.4 meV/atom

Geometry as POSCAR:
```
Cd2In2Rh
1.0
7.151 0.000 0.000
0.000 7.151 0.000
0.000 0.000 4.401
Rh Cd In
2 4 4
direct
0.500 0.500 0.000 Rh
0.000 0.000 0.000 Rh
0.857 0.643 0.000 Cd
0.143 0.357 0.000 Cd
0.643 0.143 0.000 Cd
0.357 0.857 0.000 Cd
0.672 0.828 0.500 In
0.172 0.672 0.500 In
0.328 0.172 0.500 In
0.828 0.328 0.500 In
```

VASP calculation (GGA-PBE) on BaSrTiI2 after structural relaxation.

Output
Space-group type ... P4/mmm
Magnetization ... 3.12 μB/f.u.
E_form (uncorrected) ... 0.0635 eV/atom

Geometry as POSCAR:
```
BaSrTiI2
1.0
6.527 0.000 0.000
0.000 6.638 0.000
0.000 0.000 6.527
Sr Ti I Ba
1 1 2 1
direct
0.500 0.500 0.500 Sr
0.000 0.500 0.000 Ti
0.500 0.000 0.000 I
0.000 0.000 0.500 I
0.000 0.000 0.000 Ba
```

VASP calculation (GGA-PBE) on Re2SbMo after structural relaxation.

Output
Space-group type ... R3m
Magnetization ... 0.00 μB/f.u.
E_form (uncorrected) ... 0.4289 eV/atom

Geometry as POSCAR:
```
Re2SbMo
1.0
9.016 -0.030 -0.018
8.538 2.895 -0.018
8.538 1.393 2.538
Mo Sb Re
1 1 2
direct
0.746 0.746 0.746 Mo
0.500 0.500 0.500 Sb
0.999 0.999 0.999 Re
0.255 0.255 0.255 Re
```

VASP calculation (GGA-PBE) on Er2TmIn after structural relaxation.

Output
Space-group type ... P4/mmm
Energy above the lowest structure with this stoichiometry ... 0.0 meV/atom
Magnetization ... 0.00 μB/f.u.
Energy of formation ... -260.9 meV/atom

Geometry as POSCAR:
```
Er2TmIn
1.0
-2.774 3.827 -0.784
-3.589 -2.878 -1.353
-1.552 -0.196 4.533
Tm Er In
1 2 1
direct
0.500 0.500 0.500 Tm
0.000 0.500 0.000 Er
0.000 0.000 0.500 Er
0.500 0.000 0.000 In
```